Entry from Alexandria via LeMat-Bulk: BaAlIn2 after structural relaxation (PBEsol).

a = 4.7957 Å, b = 4.7957 Å, c = 4.8568 Å
α = 90.00°, β = 90.00°, γ = 90.00°
Space group P4/mmm (No. 123)
Unique sites:
Ba 0.0000 0.0000 0.0000
Al 0.5000 0.5000 0.0000
In 0.0000 0.5000 0.5000

DFT total energy ... -3.169 eV/atom
Energy of formation ... -0.118 eV per atom



Entry from Alexandria via LeMat-Bulk: HgTeCl3 after structural relaxation (PBEsol).

a = 5.2550 Å, b = 5.2550 Å, c = 5.2550 Å
α = 90.00°, β = 90.00°, γ = 90.00°
Space group Pm-3m (No. 221)
Unique sites:
Hg 0.0000 0.0000 0.0000
Te 0.5000 0.5000 0.5000
Cl 0.0000 0.5000 0.5000

Uncorrected formation energy ... -0.263 eV per atom
DFT total energy ... -2.286 eV/atom



Entry from Alexandria via LeMat-Bulk: Zn2CdSe after structural relaxation (PBEsol).

a = 4.2425 Å, b = 4.2425 Å, c = 8.1689 Å
α = 90.00°, β = 90.00°, γ = 90.00°
Space group I-4m2 (No. 119)
Unique sites:
Zn 0.0000 0.0000 0.0000
Zn 0.0000 0.5000 0.2500
Cd 0.0000 0.0000 0.5000
Se 0.0000 0.5000 0.7500

Uncorrected formation energy ... 0.153 eV per atom
Polymorph energy (0 for the lowest one) ... 26 kJ/mol of formula units
DFT total energy ... -1.900 eV/atom



Entry from Alexandria via LeMat-Bulk: Sr3Ir2O7 after structural relaxation (PBEsol).

a = 5.4830 Å, b = 20.9352 Å, c = 5.4805 Å
α = 90.00°, β = 90.00°, γ = 90.00°
Space group Ccce (No. 68, origin choice 2)
Unique sites:
Sr 0.0000 0.0623 0.2500
Sr 0.0000 0.2500 0.2500
Ir 0.0000 0.1528 0.7500
O 0.0000 0.0559 0.7500
O 0.0000 0.2500 0.7500
O 0.1882 0.1533 0.0619

Uncorrected formation energy ... -1.841 eV per atom
Polymorph energy (0 for the lowest one) ... 0 kJ/mol of formula units
DFT total energy ... -7.001 eV/atom



Entry from Alexandria via LeMat-Bulk: SrLi2Au after structural relaxation (PBEsol).

a = 9.3913 Å, b = 3.8572 Å, c = 5.2669 Å
α = 90.00°, β = 106.17°, γ = 90.00°
Space group C2/m (No. 12)
Unique sites:
Sr 0.0000 0.0000 0.0000
Li 0.2088 0.0000 0.6349
Au 0.0000 0.5000 0.5000

Polymorph energy (0 for the lowest one) ... 22 kJ/mol of formula units
DFT total energy ... -2.748 eV/atom
Energy of formation ... -0.323 eV per atom



Entry from Alexandria via LeMat-Bulk: BaSrTa2O7 after structural relaxation (PBEsol).

a = 3.9913 Å, b = 7.8226 Å, c = 20.2072 Å
α = 90.00°, β = 90.00°, γ = 90.00°
Space group Immm (No. 71)
Unique sites:
Ba 0.0000 0.0000 0.2390
Sr 0.0000 0.0000 0.0000
Sr 0.0000 0.5000 0.0000
Ta 0.0000 0.2521 0.3973
O 0.0000 0.0000 0.3862
O 0.0000 0.2100 0.5000
O 0.0000 0.2466 0.0921
O 0.0000 0.2992 0.3066
O 0.0000 0.5000 0.4216

Uncorrected formation energy ... -3.071 eV per atom
DFT total energy ... -9.056 eV/atom



Entry from Alexandria via LeMat-Bulk: AsP5 after structural relaxation (PBEsol).

a = 10.3714 Å, b = 3.3860 Å, c = 7.6262 Å
α = 90.00°, β = 122.52°, γ = 90.00°
Space group Cm (No. 8)
Unique sites:
As 0.0000 0.0000 0.0000
P 0.0693 0.0000 0.4955
P 0.1323 0.5000 0.7221
P 0.2703 0.0000 0.1381
P 0.3156 0.5000 0.3617
P 0.4297 0.0000 0.7497

Polymorph energy (0 for the lowest one) ... 0 kJ/mol of formula units
DFT total energy ... -5.615 eV/atom
Energy of formation ... 0.062 eV per atom



Entry from Alexandria via LeMat-Bulk: KTcIr after structural relaxation (PBEsol).

a = 2.8741 Å, b = 2.8741 Å, c = 14.5872 Å
α = 90.00°, β = 90.00°, γ = 90.00°
Space group I4mm (No. 107)
Unique sites:
K 0.0000 0.0000 0.0000
Tc 0.0000 0.0000 0.7146
Ir 0.0000 0.0000 0.3159

DFT total energy ... -6.667 eV/atom
Energy of formation ... 0.740 eV per atom



Entry from Alexandria via LeMat-Bulk: InCu2Pt after structural relaxation (PBEsol).

a = 3.8136 Å, b = 3.8136 Å, c = 7.9108 Å
α = 90.00°, β = 90.00°, γ = 90.00°
Space group I-4m2 (No. 119)
Unique sites:
In 0.0000 0.0000 0.0000
Cu 0.0000 0.0000 0.5000
Cu 0.0000 0.5000 0.2500
Pt 0.0000 0.5000 0.7500

DFT total energy ... -4.864 eV/atom
Energy of formation ... -0.211 eV per atom



Entry from Alexandria via LeMat-Bulk: Rb2CrNiN after structural relaxation (PBEsol).

a = 6.2285 Å, b = 6.2285 Å, c = 3.4125 Å
α = 90.00°, β = 90.00°, γ = 90.00°
Space group P4/mmm (No. 123)
Unique sites:
Rb 0.0000 0.5000 0.0000
Cr 0.0000 0.0000 0.5000
Ni 0.5000 0.5000 0.5000
N 0.5000 0.5000 0.0000

Uncorrected formation energy ... 0.632 eV per atom
DFT total energy ... -4.763 eV/atom



Entry from Alexandria via LeMat-Bulk: NiMoN2 after structural relaxation (PBEsol).

a = 5.1588 Å, b = 5.1588 Å, c = 5.1588 Å
α = 90.00°, β = 90.00°, γ = 90.00°
Space group Fm-3m (No. 225)
Unique sites:
Ni 0.0000 0.0000 0.0000
Mo 0.0000 0.0000 0.5000
N 0.2500 0.2500 0.2500

Uncorrected formation energy ... 0.378 eV per atom
DFT total energy ... -8.367 eV/atom



Entry from Alexandria via LeMat-Bulk: KNaCa2I after structural relaxation (PBEsol).

a = 6.1596 Å, b = 6.1596 Å, c = 6.3332 Å
α = 90.00°, β = 90.00°, γ = 90.00°
Space group P4/mmm (No. 123)
Unique sites:
K 0.0000 0.0000 0.0000
Na 0.5000 0.5000 0.0000
Ca 0.0000 0.5000 0.5000
I 0.5000 0.5000 0.5000

Uncorrected formation energy ... -0.116 eV per atom
DFT total energy ... -1.829 eV/atom



Question: Number 11 is which compound?
Answer: NiMoN2



Question: Among the records above, which one has the highest DFT total energy?
Answer: KNaCa2I



Question: Among the records above, which one has the lowest DFT total energy?
Answer: BaSrTa2O7



Question: What is the formula in the sixth record?
Answer: BaSrTa2O7